1.
First-principles (GGA-PBE) data for Ca3Ac2PaN6 after structural relaxation, as listed in the Alexandria database.

Geometry as extended XYZ:
```
12
Lattice="-4.6239 -3.1192 3.2738 3.5445 -3.1311 -4.4115 4.2506 0.6813 4.5168" Properties=species:S:1:pos:R:3 pbc="T T T"
Ca 4.4179 -2.7886 -0.9753
Ca -1.2468 -2.7804 4.3544
Ca 1.5856 -2.7845 1.6896
Ac 0.8289 -3.1271 -1.8565
Ac -1.9083 -3.1232 0.7188
Pa 0.0000 0.0000 0.0000
N 1.2370 -4.3387 3.7123
N 0.1244 -4.6727 0.1394
N 1.9342 -1.2304 -0.3331
N 3.6234 -4.3422 1.4671
N 3.0468 -0.8963 3.2397
N -0.4522 -1.2269 1.9121
```

Computed properties:
formation energy without anion corrections = -1.120 eV/atom
space-group type = No. 12
E = -7.259 eV per atom



2.
First-principles (GGA-PBE) data for BaNaHg after structural relaxation, as listed in the Alexandria database.

Geometry as extended XYZ:
```
6
Lattice="-4.8685 0.2128 -0.0546 -0.1587 -2.5687 4.1385 0.2952 8.0375 5.0001" Properties=species:S:1:pos:R:3 pbc="T T T"
Ba 0.1707 5.5241 6.3048
Ba -2.3891 1.3354 0.7373
Na -2.3660 2.8408 4.5420
Na 0.1476 4.0187 2.5001
Hg -0.0043 0.7594 3.3407
Hg -2.2141 6.1001 3.7014
```

Computed properties:
space-group type = No. 129
E = -1.508 eV per atom
excess energy over the best structure of this formula in the dataset = 0.026 eV/f.u.
formation energy = -0.33 eV per atom